# 1
VASP calculation (PBE) on an optimized crystal structure of ScTeAu2.

Cell lengths 6.9306, 6.9306, 6.9306 Å; angles 90.00, 90.00, 90.00 degrees
Closest atoms and distances in Å follow each position.
Space group F-43m (No. 216)
Symmetry-distinct sites (fractional):
Sc 0.0000 0.0000 0.0000 x4  4 Te 3.00, 4 Au 3.00
Te 0.2500 0.2500 0.2500 x4  4 Sc 3.00, 4 Au 3.00
Au 0.0000 0.0000 0.5000 x4  4 Te 3.00, 4 Au 3.00
Au 0.2500 0.2500 0.7500 x4  4 Sc 3.00, 4 Au 3.00

Values from the calculation:
The uncorrected energy comes out at -4.3772 eV/atom.


# 2
VASP calculation (PBE) on an optimized crystal structure of ReAgAsO.

Cell lengths 3.8904, 3.8904, 8.7228 Å; angles 90.00, 90.00, 90.00 degrees
Closest atoms and distances in Å follow each position.
Space group P4/nmm (No. 129, origin choice 2)
Symmetry-distinct sites (fractional):
Re 0.2500 0.7500 0.0000 x2  4 As 2.58, 4 Re 2.75
Ag 0.2500 0.2500 0.3971 x2  4 O 2.14
As 0.2500 0.2500 0.8051 x2  4 Re 2.58
O 0.2500 0.7500 0.5000 x2  4 Ag 2.14

Values from the calculation:
The energy relative to the lowest polymorph listed for this composition comes out at 524 meV per atom.


# 3
VASP calculation (PBE) on an optimized crystal structure of AlMoW2.

Cell lengths 5.0158, 5.0158, 4.9525 Å; angles 90.00, 90.00, 90.00 degrees
Closest atoms and distances in Å follow each position.
Space group P4_2/mmc (No. 131)
Symmetry-distinct sites (fractional):
Al 0.0000 0.5000 0.0000 x2  8 W 2.78-2.80, 4 Mo 2.80
Mo 0.0000 0.0000 0.2500 x2  2 Mo 2.48
W 0.2503 0.5000 0.5000 x4  2 W 2.50-2.51, 4 Al 2.78-2.80

Values from the calculation:
The uncorrected energy comes out at -10.2558 eV/atom.


# 4
VASP calculation (PBE) on an optimized crystal structure of GdP2Pd8.

Cell lengths 11.9098, 4.0791, 9.2990 Å; angles 90.00, 127.39, 90.00 degrees
Closest atoms and distances in Å follow each position.
Space group C2/m (No. 12)
Symmetry-distinct sites (fractional):
Gd 0.0000 0.0000 0.0000 x2  12 Pd 3.12-3.33, 4 P 3.18
P 0.0603 0.5000 0.7922 x4  5 Pd 2.26-2.37
Pd 0.0267 0.0000 0.3696 x4  2 P 2.37
Pd 0.1600 0.5000 0.6438 x4  1 P 2.30
Pd 0.1790 0.5000 0.3484 x4  1 P 2.30
Pd 0.2342 0.5000 0.0942 x4  1 P 2.26

Values from the calculation:
The uncorrected energy comes out at -5.8115 eV/atom.


# 5
VASP calculation (PBE) on an optimized crystal structure of UZnPd.

Cell lengths 6.2980, 6.2980, 6.2980 Å; angles 90.00, 90.00, 90.00 degrees
Closest atoms and distances in Å follow each position.
Space group F-43m (No. 216)
Symmetry-distinct sites (fractional):
U 0.0000 0.0000 0.0000 x4  4 Zn 2.73
Zn 0.2500 0.2500 0.7500 x4  4 U 2.73, 4 Pd 2.73
Pd 0.0000 0.0000 0.5000 x4  4 Zn 2.73

Values from the calculation:
Its formation energy is 1.2 eV per formula unit.


# 6
VASP calculation (PBE) on an optimized crystal structure of TbF3.

Cell lengths 5.7064, 5.7064, 3.5632 Å; angles 90.00, 90.00, 120.00 degrees
Closest atoms and distances in Å follow each position.
Space group P6_3/m (No. 176)
Symmetry-distinct sites (fractional):
Tb 0.3333 0.6667 0.2500 x2  9 F 2.25-2.33
F 0.0869 0.3918 0.7500 x6  3 Tb 2.25-2.33

Values from the calculation:
The uncorrected energy comes out at -6.6722 eV/atom.